## Rb8HfMo6O24 (GGA+U)

Data for an optimized crystal structure of Rb8HfMo6O24.

Geometry as POSCAR:
```
Rb8HfMo6O24
1.0
5.1423 -9.7063 0.0000
5.1423 9.7063 0.0000
-2.5389 0.0000 7.6970
Rb Hf Mo O
8 1 6 24
Cartesian
0.4326 3.4072 4.7181
5.1423 6.5567 0.0000
0.7757 0.0000 6.5324
0.4326 -3.4072 4.7181
7.3131 3.4072 2.9789
6.9700 0.0000 1.1646
5.1423 -6.5567 0.0000
7.3131 -3.4072 2.9789
3.8729 0.0000 3.8485
0.4492 0.0000 2.2902
3.5157 3.0018 1.6008
4.2300 3.0018 6.0962
3.5157 -3.0018 1.6008
4.2300 -3.0018 6.0962
7.2965 0.0000 5.4068
3.2088 8.2673 5.2938
1.9222 3.3734 2.2804
4.5370 8.2673 2.4032
1.2866 0.0000 0.7365
0.7914 2.7765 7.5369
3.2051 4.4075 5.7213
4.5407 4.4075 1.9757
1.7731 0.0000 3.6206
4.1926 1.4467 2.3862
1.9222 -3.3734 2.2804
3.5531 1.4467 5.3109
0.7914 -2.7765 7.5369
6.9543 2.7765 0.1601
4.1926 -1.4467 2.3862
5.8235 3.3734 5.4166
3.5531 -1.4467 5.3109
5.9726 0.0000 4.0764
3.2051 -4.4075 5.7213
4.5407 -4.4075 1.9757
6.9543 -2.7765 0.1601
6.4592 0.0000 6.9605
3.2088 -8.2673 5.2938
5.8235 -3.3734 5.4166
4.5370 -8.2673 2.4032
```

Results
Calculated total energy = -6.568 eV/atom
Crystal system = monoclinic
Symmetry = C2/m
DOS at the Fermi energy = 0.0 states/eV/cell